A relaxed structure of HgSbS, computed with PBE-GGA.

a b c (Å): 3.557 3.557 7.079
angles (deg): 90.00 90.00 120.00
Sites, in units of the cell vectors:
Sb (0.667, 0.333, 0.390)
S (0.333, 0.667, 0.629)
Hg (0.000, 0.000, 0.981)

Output
SG	No. 156
density	7.589	g cm⁻³
final energy	-2.779	eV per atom
relative energy among the computed polymorphs	120	meV/atom